1.
Density functional theory data (PBE-GGA) for a relaxed structure of BeAl2CdHg.

Formation enthalpy at 0 K, eV/atom: 1.101

Unit cell a=5.0875 b=5.0875 c=5.4855 alpha=90.00 beta=90.00 gamma=90.00
Space group P4/mmm (No. 123)
Symmetry-distinct sites (fractional):
Be  0.0000  0.0000  0.0000
Al  0.0000  0.5000  0.5000
Cd  0.5000  0.5000  0.5000
Hg  0.5000  0.5000  0.0000

2.
Density functional theory data (PBE-GGA) for a relaxed structure of LaPr2Y.

Polymorph energy (0 for the lowest one), eV/atom: 0.006
Formation enthalpy at 0 K, eV/atom: 0.017

Unit cell a=3.6885 b=3.6885 c=36.1318 alpha=90.00 beta=90.00 gamma=120.00
Space group R3m (No. 160, hexagonal axes)
Symmetry-distinct sites (fractional):
La  0.0000  0.0000  0.0000
Pr  0.0000  0.0000  0.2473
Pr  0.0000  0.0000  0.4184
Y  0.0000  0.0000  0.8329

3.
Density functional theory data (PBE-GGA) for a relaxed structure of Y2PaZn.

Polymorph energy (0 for the lowest one), eV/atom: 0.000
Formation enthalpy at 0 K, eV/atom: -0.056

Unit cell a=3.4177 b=3.4177 c=8.7108 alpha=90.00 beta=90.00 gamma=90.00
Space group P4/mmm (No. 123)
Symmetry-distinct sites (fractional):
Y  0.0000  0.0000  0.2223
Pa  0.5000  0.5000  0.5000
Zn  0.5000  0.5000  0.0000

4.
Density functional theory data (PBE-GGA) for a relaxed structure of FeAg2Se.

Uncorrected formation energy, meV/atom: 455

Unit cell a=7.5850 b=7.5850 c=5.2383 alpha=90.00 beta=90.00 gamma=90.00
Space group I-42d (No. 122)
Symmetry-distinct sites (fractional):
Fe  0.0000  0.0000  0.0000
Ag  0.2478  0.2500  0.1250
Se  0.0000  0.0000  0.5000

5.
Density functional theory data (PBE-GGA) for a relaxed structure of YFe2W.

Polymorph energy (0 for the lowest one), eV/atom: 0.187
Formation enthalpy at 0 K, eV/atom: 0.347

Unit cell a=4.0353 b=3.1885 c=10.5338 alpha=90.00 beta=90.00 gamma=90.00
Space group Amm2 (No. 38)
Symmetry-distinct sites (fractional):
Y  0.0000  0.0000  0.0000
Fe  0.0000  0.0000  0.7408
Fe  0.5000  0.0000  0.6121
W  0.5000  0.0000  0.2847

6.
Density functional theory data (PBE-GGA) for a relaxed structure of UCr2Tc.

Formation enthalpy at 0 K, eV/atom: 0.172

Unit cell a=2.9058 b=2.9058 c=7.1823 alpha=90.00 beta=90.00 gamma=90.00
Space group P4/mmm (No. 123)
Symmetry-distinct sites (fractional):
U  0.0000  0.0000  0.0000
Cr  0.5000  0.5000  0.2919
Tc  0.0000  0.0000  0.5000

7.
Density functional theory data (PBE-GGA) for a relaxed structure of Ho11In9Ga4.

Formation enthalpy at 0 K, eV/atom: -0.487

Unit cell a=14.4804 b=21.9471 c=3.7493 alpha=90.00 beta=90.00 gamma=90.00
Space group Cmmm (No. 65)
Symmetry-distinct sites (fractional):
Ho  0.0000  0.0000  0.0000
Ho  0.0000  0.1632  0.0000
Ho  0.0000  0.3703  0.0000
Ho  0.1982  0.5000  0.0000
Ho  0.2373  0.1737  0.0000
In  0.0000  0.5000  0.5000
In  0.1072  0.2633  0.5000
In  0.1395  0.0745  0.5000
Ga  0.1524  0.4000  0.5000

8.
Density functional theory data (PBE-GGA) for a relaxed structure of SrCl.

Uncorrected formation energy, meV/atom: -1733

Unit cell a=4.4390 b=4.4390 c=9.3642 alpha=90.00 beta=90.00 gamma=120.00
Space group P-3m1 (No. 164)
Symmetry-distinct sites (fractional):
Sr  0.3333  0.6667  0.3134
Cl  0.3333  0.6667  0.8358